# Dy2Tl5Hg

A relaxed Dy2Tl5Hg crystal (GGA-PBE, Alexandria via LeMat-Bulk).

Structure (POSCAR):
```
Dy2Tl5Hg
1.0
4.780 0.000 0.000
0.000 6.656 0.000
0.000 0.000 13.330
Dy Tl Hg
4 10 2
Cartesian
2.390 1.678 8.342 Dy
2.390 4.978 4.989 Dy
2.390 1.650 1.676 Dy
2.390 5.006 11.654 Dy
0.000 0.000 0.000 Tl
0.000 3.328 6.665 Tl
0.000 3.368 10.027 Tl
0.000 3.288 3.303 Tl
0.000 6.616 3.362 Tl
0.000 0.040 9.968 Tl
2.390 1.705 11.700 Tl
2.390 4.951 1.630 Tl
2.390 1.623 5.035 Tl
2.390 5.033 8.296 Tl
0.000 0.000 6.665 Hg
0.000 3.328 0.000 Hg
```

Calculated values
The density of states at the Fermi level comes out at 8.82 states/eV per cell. The formation energy comes out at -240 meV per atom. As for the size of the total moment: 0.0000 μB per atom.

# Mn2FeCu

A relaxed Mn2FeCu crystal (GGA-PBE, Alexandria via LeMat-Bulk).

Structure (POSCAR):
```
Mn2FeCu
1.0
-0.557 -1.303 3.316
-1.541 -1.791 -0.962
2.451 -4.909 -1.517
Cu Fe Mn
1 1 2
Cartesian
0.468 -3.360 -1.241 Cu
0.410 -5.683 -0.203 Fe
2.442 -4.903 -1.516 Mn
-0.062 -2.316 1.040 Mn
```

Calculated values
The density of states at the Fermi level comes out at 3.63 states/eV per cell. The formation energy comes out at 118 meV per atom. As for the size of the total moment: 0.5095 μB per atom.

size of the total moment of number 2 (Mn2FeCu)? 0.5095 μB per atom

Please write out number 2 again, unchanged.
# Mn2FeCu

A relaxed Mn2FeCu crystal (GGA-PBE, Alexandria via LeMat-Bulk).

Structure (POSCAR):
```
Mn2FeCu
1.0
-0.557 -1.303 3.316
-1.541 -1.791 -0.962
2.451 -4.909 -1.517
Cu Fe Mn
1 1 2
Cartesian
0.468 -3.360 -1.241 Cu
0.410 -5.683 -0.203 Fe
2.442 -4.903 -1.516 Mn
-0.062 -2.316 1.040 Mn
```

Calculated values
The density of states at the Fermi level comes out at 3.63 states/eV per cell. The formation energy comes out at 118 meV per atom. As for the size of the total moment: 0.5095 μB per atom.